Record 1
Entry from Alexandria: a relaxed structure of Sr2MgZn2 (PBE).

Geometry as CIF:
```
data_Sr2MgZn2
_chemical_formula_sum 'Sr8 Mg4 Zn8'
_space_group_name_H-M_alt 'C 1 2/c 1'
_space_group_IT_number 15
_cell_length_a 11.0391
_cell_length_b 6.2954
_cell_length_c 8.7203
_cell_angle_alpha 90.00
_cell_angle_beta 103.21
_cell_angle_gamma 90.00
loop_
_space_group_symop_operation_xyz
'x,y,z'
'-x,-y,-z'
'-x,y,-z+1/2'
'x,-y,z+1/2'
'x+1/2,y+1/2,z'
'-x+1/2,-y+1/2,-z'
'-x+1/2,y+1/2,-z+1/2'
'x+1/2,-y+1/2,z+1/2'
loop_
_atom_site_label
_atom_site_type_symbol
_atom_site_fract_x
_atom_site_fract_y
_atom_site_fract_z
Sr1 Sr 0.1468 0.1438 0.1464
Mg1 Mg 0.0000 0.3752 0.7500
Zn1 Zn 0.1441 0.3524 0.5000
```

D(E_F) (states/eV/atom): 0.8468
DFT formation energy (eV per atom): -0.18

***

Record 2
Entry from Alexandria: a relaxed structure of Ni7Rh5 (PBE).

Geometry as CIF:
```
data_Ni7Rh5
_chemical_formula_sum 'Ni14 Rh10'
_space_group_name_H-M_alt 'C 1 2/m 1'
_space_group_IT_number 12
_cell_length_a 8.2611
_cell_length_b 4.2545
_cell_length_c 9.0500
_cell_angle_alpha 90.00
_cell_angle_beta 107.94
_cell_angle_gamma 90.00
loop_
_space_group_symop_operation_xyz
'x,y,z'
'-x,-y,-z'
'-x,y,-z'
'x,-y,z'
'x+1/2,y+1/2,z'
'-x+1/2,-y+1/2,-z'
'-x+1/2,y+1/2,-z'
'x+1/2,-y+1/2,z'
loop_
_atom_site_label
_atom_site_type_symbol
_atom_site_fract_x
_atom_site_fract_y
_atom_site_fract_z
Ni1 Ni 0.0000 0.0000 0.0000
Ni2 Ni 0.0628 0.5000 0.2474
Ni3 Ni 0.0639 0.0000 0.7271
Ni4 Ni 0.1855 0.0000 0.5142
Rh1 Rh 0.0000 0.5000 0.5000
Rh2 Rh 0.1723 0.5000 0.0243
Rh3 Rh 0.2429 0.0000 0.2456
```

D(E_F) (states/eV/atom): 1.7285
DFT formation energy (eV per atom): 0.14

***

Record 3
Entry from Alexandria: a relaxed structure of EuHoZr (PBE).

Geometry as CIF:
```
data_EuHoZr
_chemical_formula_sum 'Eu1 Ho1 Zr1'
_space_group_name_H-M_alt 'P 3 m 1'
_space_group_IT_number 156
_cell_length_a 3.4520
_cell_length_b 3.4520
_cell_length_c 8.6570
_cell_angle_alpha 90.00
_cell_angle_beta 90.00
_cell_angle_gamma 120.00
loop_
_space_group_symop_operation_xyz
'x,y,z'
'-y,x-y,z'
'-x+y,-x,z'
'-y,-x,z'
'-x+y,y,z'
'x,x-y,z'
loop_
_atom_site_label
_atom_site_type_symbol
_atom_site_fract_x
_atom_site_fract_y
_atom_site_fract_z
Eu1 Eu 0.0000 0.0000 0.0000
Ho1 Ho 0.3333 0.6667 0.6238
Zr1 Zr 0.6667 0.3333 0.3295
```

D(E_F) (states/eV/atom): 1.2093
DFT formation energy (eV per atom): 0.17

***

Record 4
Entry from Alexandria: a relaxed structure of GaPb2Cl8 (PBE).

Geometry as CIF:
```
data_GaPb2Cl8
_chemical_formula_sum 'Ga2 Pb4 Cl16'
_space_group_name_H-M_alt 'C 1 2/m 1'
_space_group_IT_number 12
_cell_length_a 14.5549
_cell_length_b 6.4650
_cell_length_c 9.9888
_cell_angle_alpha 90.00
_cell_angle_beta 100.50
_cell_angle_gamma 90.00
loop_
_space_group_symop_operation_xyz
'x,y,z'
'-x,-y,-z'
'-x,y,-z'
'x,-y,z'
'x+1/2,y+1/2,z'
'-x+1/2,-y+1/2,-z'
'-x+1/2,y+1/2,-z'
'x+1/2,-y+1/2,z'
loop_
_atom_site_label
_atom_site_type_symbol
_atom_site_fract_x
_atom_site_fract_y
_atom_site_fract_z
Ga1 Ga 0.0000 0.0000 0.0000
Pb1 Pb 0.2123 0.0000 0.3313
Cl1 Cl 0.0799 0.2486 0.1303
Cl2 Cl 0.1378 0.5000 0.7593
Cl3 Cl 0.2353 0.5000 0.3917
```

E (eV/atom): -3.10
D(E_F) (states/eV/atom): 0.7359

***

Record 5
Entry from Alexandria: a relaxed structure of TcAgPb (PBE).

Geometry as CIF:
```
data_TcAgPb
_chemical_formula_sum 'Tc2 Ag2 Pb2'
_space_group_name_H-M_alt 'I m m 2'
_space_group_IT_number 44
_cell_length_a 3.1110
_cell_length_b 3.9592
_cell_length_c 9.6034
_cell_angle_alpha 90.00
_cell_angle_beta 90.00
_cell_angle_gamma 90.00
loop_
_space_group_symop_operation_xyz
'x,y,z'
'-x,-y,z'
'-x,y,z'
'x,-y,z'
'x+1/2,y+1/2,z+1/2'
'-x+1/2,-y+1/2,z+1/2'
'-x+1/2,y+1/2,z+1/2'
'x+1/2,-y+1/2,z+1/2'
loop_
_atom_site_label
_atom_site_type_symbol
_atom_site_fract_x
_atom_site_fract_y
_atom_site_fract_z
Tc1 Tc 0.0000 0.0000 0.0000
Ag1 Ag 0.0000 0.0000 0.6517
Pb1 Pb 0.0000 0.0000 0.3303
```

D(E_F) (states/eV/atom): 0.8324
DFT formation energy (eV per atom): 0.74

***

Record 6
Entry from Alexandria: a relaxed structure of TmGaP2 (PBE).

Geometry as CIF:
```
data_TmGaP2
_chemical_formula_sum 'Tm3 Ga3 P6'
_space_group_name_H-M_alt 'R -3 m'
_space_group_IT_number 166
_space_group_name_Hall '-R 3 2"'
_cell_length_a 4.3097
_cell_length_b 4.3097
_cell_length_c 20.9437
_cell_angle_alpha 90.00
_cell_angle_beta 90.00
_cell_angle_gamma 120.00
loop_
_atom_site_label
_atom_site_type_symbol
_atom_site_fract_x
_atom_site_fract_y
_atom_site_fract_z
Tm1 Tm 0.0000 0.0000 0.0000
Ga1 Ga 0.0000 0.0000 0.5000
P1 P 0.0000 0.0000 0.3963
```

DFT formation energy (eV per atom): -0.48

***

Record 7
Entry from Alexandria: a relaxed structure of Ba4PuPa3N8 (PBE).

Geometry as CIF:
```
data_Ba4PuPa3N8
_chemical_formula_sum 'Ba12 Pu3 Pa9 N24'
_space_group_name_H-M_alt 'R -3 m'
_space_group_IT_number 166
_space_group_name_Hall '-R 3 2"'
_cell_length_a 7.2892
_cell_length_b 7.2892
_cell_length_c 19.2954
_cell_angle_alpha 90.00
_cell_angle_beta 90.00
_cell_angle_gamma 120.00
loop_
_atom_site_label
_atom_site_type_symbol
_atom_site_fract_x
_atom_site_fract_y
_atom_site_fract_z
Ba1 Ba 0.0000 0.0000 0.0000
Ba2 Ba 0.0000 0.5000 0.0000
Pu1 Pu 0.0000 0.0000 0.5000
Pa1 Pa 0.0000 0.5000 0.5000
N1 N 0.0000 0.0000 0.2241
N2 N 0.0106 0.5053 0.7765
```

E (eV/atom): -8.52
D(E_F) (states/eV/atom): 0.9012

***

Record 8
Entry from Alexandria: a relaxed structure of CuReRu2 (PBE).

Geometry as CIF:
```
data_CuReRu2
_chemical_formula_sum 'Cu2 Re2 Ru4'
_space_group_name_H-M_alt 'I -4 m 2'
_space_group_IT_number 119
_space_group_name_Hall 'I -4 -2'
_cell_length_a 3.7152
_cell_length_b 3.7152
_cell_length_c 8.0015
_cell_angle_alpha 90.00
_cell_angle_beta 90.00
_cell_angle_gamma 90.00
loop_
_atom_site_label
_atom_site_type_symbol
_atom_site_fract_x
_atom_site_fract_y
_atom_site_fract_z
Cu1 Cu 0.0000 0.0000 0.0000
Re1 Re 0.0000 0.5000 0.2500
Ru1 Ru 0.0000 0.0000 0.5000
Ru2 Ru 0.0000 0.5000 0.7500
```

D(E_F) (states/eV/atom): 1.1065
DFT formation energy (eV per atom): 0.26

***

Record 9
Entry from Alexandria: a relaxed structure of CaY2NpN4 (PBE).

Geometry as CIF:
```
data_CaY2NpN4
_chemical_formula_sum 'Ca1 Y2 Np1 N4'
_space_group_name_H-M_alt 'P 1 2/m 1'
_space_group_IT_number 10
_cell_length_a 5.9679
_cell_length_b 3.4837
_cell_length_c 5.9787
_cell_angle_alpha 90.00
_cell_angle_beta 108.33
_cell_angle_gamma 90.00
loop_
_space_group_symop_operation_xyz
'x,y,z'
'-x,-y,-z'
'-x,y,-z'
'x,-y,z'
loop_
_atom_site_label
_atom_site_type_symbol
_atom_site_fract_x
_atom_site_fract_y
_atom_site_fract_z
Ca1 Ca 0.0000 0.0000 0.0000
Y1 Y 0.5000 0.0000 0.5000
Y2 Y 0.5000 0.5000 0.0000
Np1 Np 0.0000 0.5000 0.5000
N1 N 0.2388 0.5000 0.2798
N2 N 0.2498 0.0000 0.7426
```

E (eV/atom): -9.05
D(E_F) (states/eV/atom): 0.4973

***

Record 10
Entry from Alexandria: a relaxed structure of TiNi6Ge (PBE).

Geometry as CIF:
```
data_TiNi6Ge
_chemical_formula_sum 'Ti2 Ni12 Ge2'
_space_group_name_H-M_alt 'C 1 2/m 1'
_space_group_IT_number 12
_cell_length_a 7.1798
_cell_length_b 4.8095
_cell_length_c 6.5065
_cell_angle_alpha 90.00
_cell_angle_beta 109.95
_cell_angle_gamma 90.00
loop_
_space_group_symop_operation_xyz
'x,y,z'
'-x,-y,-z'
'-x,y,-z'
'x,-y,z'
'x+1/2,y+1/2,z'
'-x+1/2,-y+1/2,-z'
'-x+1/2,y+1/2,-z'
'x+1/2,-y+1/2,z'
loop_
_atom_site_label
_atom_site_type_symbol
_atom_site_fract_x
_atom_site_fract_y
_atom_site_fract_z
Ti1 Ti 0.0000 0.0000 0.0000
Ni1 Ni 0.1477 0.0000 0.4403
Ni2 Ni 0.1961 0.2402 0.7999
Ge1 Ge 0.0000 0.5000 0.5000
```

D(E_F) (states/eV/atom): 0.9931
DFT formation energy (eV per atom): -0.02

***

Record 11
Entry from Alexandria: a relaxed structure of B5C7 (PBE).

Geometry as CIF:
```
data_B5C7
_chemical_formula_sum 'B5 C7'
_space_group_name_H-M_alt 'P m m 2'
_space_group_IT_number 25
_cell_length_a 2.4603
_cell_length_b 7.8155
_cell_length_c 4.0936
_cell_angle_alpha 90.00
_cell_angle_beta 90.00
_cell_angle_gamma 90.00
loop_
_space_group_symop_operation_xyz
'x,y,z'
'-x,-y,z'
'-x,y,z'
'x,-y,z'
loop_
_atom_site_label
_atom_site_type_symbol
_atom_site_fract_x
_atom_site_fract_y
_atom_site_fract_z
B1 B 0.0000 0.0000 0.0000
B2 B 0.0000 0.3279 0.9645
B3 B 0.5000 0.3336 0.2925
C1 C 0.0000 0.1631 0.7289
C2 C 0.0000 0.5000 0.7282
C3 C 0.5000 0.0000 0.2874
C4 C 0.5000 0.1576 0.5136
C5 C 0.5000 0.5000 0.5221
```

D(E_F) (states/eV/atom): 0.1439
DFT formation energy (eV per atom): 0.33

***

Record 12
Entry from Alexandria: a relaxed structure of Sc2AgIr (PBE).

Geometry as CIF:
```
data_Sc2AgIr
_chemical_formula_sum 'Sc4 Ag2 Ir2'
_space_group_name_H-M_alt 'C 1 m 1'
_space_group_IT_number 8
_cell_length_a 10.1447
_cell_length_b 3.1571
_cell_length_c 4.8163
_cell_angle_alpha 90.00
_cell_angle_beta 103.36
_cell_angle_gamma 90.00
loop_
_space_group_symop_operation_xyz
'x,y,z'
'x,-y,z'
'x+1/2,y+1/2,z'
'x+1/2,-y+1/2,z'
loop_
_atom_site_label
_atom_site_type_symbol
_atom_site_fract_x
_atom_site_fract_y
_atom_site_fract_z
Sc1 Sc 0.0000 0.0000 0.0000
Sc2 Sc 0.2183 0.0000 0.6274
Ag1 Ag 0.4649 0.0000 0.4659
Ir1 Ir 0.2257 0.5000 0.1129
```

D(E_F) (states/eV/atom): 0.5401
DFT formation energy (eV per atom): -0.49